*i*
Computed, not measured: a relaxed NbGeSe2N crystal at the PBE level of DFT.

Output
D(E_F) = 4.93 states/eV/cell

Cell: 5.107 5.107 3.542 Å, 90.00 90.00 90.00°
Space group P4/mmm (No. 123)
Unique sites:
Nb  0.000  0.000  0.000 [1 per cell]
Ge  0.500  0.500  0.500 [1 per cell]
Se  0.000  0.500  0.500 [2 per cell]
N  0.500  0.500  0.000 [1 per cell]

---

*ii*
Computed, not measured: a relaxed NbGeSe2N crystal at the PBE level of DFT.

Output
D(E_F) = 1.73 states/eV/cell

Cell: 5.213 5.213 3.892 Å, 90.00 90.00 90.00°
Space group P4/mmm (No. 123)
Unique sites:
Nb  0.000  0.000  0.000 [1 per cell]
Ge  0.500  0.500  0.500 [1 per cell]
Se  0.000  0.500  0.000 [2 per cell]
N  0.000  0.000  0.500 [1 per cell]

---

It is *ii* that is the most stable of them.

---

*i*
Computed, not measured: a relaxed NdGeN crystal at the PBE level of DFT.

Output
D(E_F) = 4.44 states/eV/cell

Cell: 4.780 6.529 7.410 Å, 90.00 90.00 90.00°
Space group Cmc2_1 (No. 36)
Unique sites:
Nd  0.000  0.123  0.000 [4 per cell]
Ge  0.000  0.481  0.266 [4 per cell]
N  0.000  0.213  0.349 [4 per cell]

---

*ii*
Computed, not measured: a relaxed NdGeN crystal at the PBE level of DFT.

Output
D(E_F) = 1.76 states/eV/cell

Cell: 3.895 4.021 8.303 Å, 76.67 78.88 68.64°
Space group P-1 (No. 2)
Unique sites:
Nd  0.144  0.145  0.171 [2 per cell]
Ge  0.306  0.303  0.560 [2 per cell]
N  0.354  0.660  0.020 [2 per cell]

---

It is *ii* that is the most stable of them.

---

*i*
Computed, not measured: a relaxed NiGeSe2N crystal at the PBE level of DFT.

Output
D(E_F) = 2.49 states/eV/cell

Cell: 5.038 5.038 3.432 Å, 90.00 90.00 90.00°
Space group P4/mmm (No. 123)
Unique sites:
Ni  0.000  0.000  0.000 [1 per cell]
Ge  0.500  0.500  0.500 [1 per cell]
Se  0.000  0.500  0.000 [2 per cell]
N  0.000  0.000  0.500 [1 per cell]

---

*ii*
Computed, not measured: a relaxed NiGeSe2N crystal at the PBE level of DFT.

Output
D(E_F) = 5.43 states/eV/cell

Cell: 5.172 5.172 3.445 Å, 90.00 90.00 90.00°
Space group P4/mmm (No. 123)
Unique sites:
Ni  0.000  0.000  0.000 [1 per cell]
Ge  0.500  0.500  0.500 [1 per cell]
Se  0.000  0.500  0.500 [2 per cell]
N  0.500  0.500  0.000 [1 per cell]

---

It is *i* that is the most stable of them.

---

*i*
Computed, not measured: a relaxed Ge2NO crystal at the PBE level of DFT.

Output
D(E_F) = 5.32 states/eV/cell

Cell: 5.541 5.541 7.315 Å, 90.00 90.00 90.00°
Space group I-42d (No. 122)
Unique sites:
Ge  0.234  0.250  0.125 [8 per cell]
N  0.000  0.000  0.000 [4 per cell]
O  0.000  0.000  0.500 [4 per cell]

---

*ii*
Computed, not measured: a relaxed Ge2NO crystal at the PBE level of DFT.

Output
D(E_F) = 8.01 states/eV/cell

Cell: 5.721 5.721 5.721 Å, 90.00 90.00 90.00°
Space group Fm-3m (No. 225)
Unique sites:
Ge  0.250  0.250  0.250 [8 per cell]
N  0.000  0.000  0.000 [4 per cell]
O  0.000  0.000  0.500 [4 per cell]

---

It is *i* that is the most stable of them.